Here is crystalline PmDyMn17 at its relaxed geometry from Alexandria via LeMat-Bulk. Energies are from PBE-GGA.

V, A^3/atom: 13.37
Formation energy, eV per atom: 0.0229

a b c (Å): 6.3455 6.3455 6.3455
angles (deg): 86.33 86.33 86.33
Element x y z (fractional)
Mn (0.2742, 0.0008, 0.7261)
Mn (0.4998, 0.0010, 0.0010)
Mn (0.3538, 0.8775, 0.3538)
Mn (0.1231, 0.6447, 0.6447)
Mn (0.0008, 0.7261, 0.2742)
Mn (0.0008, 0.2742, 0.7261)
Mn (0.6447, 0.1231, 0.6447)
Mn (0.0010, 0.4998, 0.0010)
Mn (0.9008, 0.9008, 0.9008)
Mn (0.7261, 0.2742, 0.0008)
Mn (0.3538, 0.3538, 0.8775)
Mn (0.0997, 0.0997, 0.0997)
Mn (0.8775, 0.3538, 0.3538)
Mn (0.2742, 0.7261, 0.0008)
Mn (0.6447, 0.6447, 0.1231)
Mn (0.0010, 0.0010, 0.4998)
Mn (0.7261, 0.0008, 0.2742)
Pm (0.6437, 0.6437, 0.6437)
Dy (0.3539, 0.3539, 0.3539)